First-principles (PBE-GGA) data for a geometry-optimized Tm3Al12Pd structure, as listed in the Alexandria database.

extended XYZ file:
```
16
Lattice="4.168 0.000 0.000 0.000 4.168 0.000 0.000 0.000 16.540" Properties=species:S:1:pos:R:3 pbc="T T T"
Al 2.084 2.084 8.270
Al 0.000 2.084 10.403
Al 2.084 0.000 10.403
Al 2.084 2.084 12.525
Al 0.000 2.084 14.712
Al 2.084 0.000 6.136
Al 0.000 2.084 6.136
Al 0.000 2.084 1.827
Al 2.084 2.084 0.000
Al 2.084 2.084 4.015
Al 2.084 0.000 14.712
Al 2.084 0.000 1.827
Pd 0.000 0.000 0.000
Tm 0.000 0.000 4.018
Tm 0.000 0.000 8.270
Tm 0.000 0.000 12.522
```

Calculated values
ρ (Mg/m³): 5.41
Magnetic moment (μB per cell): 0.000
Calculated formation energy (eV per atom): -0.387
Volume (Å³/atom): 17.960
E (eV per atom): -4.36

First-principles (PBE-GGA) data for a geometry-optimized Sc2MoW structure, as listed in the Alexandria database.

extended XYZ file:
```
4
Lattice="4.690 0.000 0.000 2.345 4.062 0.000 2.345 1.354 3.830" Properties=species:S:1:pos:R:3 pbc="T T T"
Sc 0.000 0.000 0.000
Sc 2.345 1.354 0.957
W 7.035 4.062 2.872
Mo 4.690 2.708 1.915
```

Calculated values
ρ (Mg/m³): 8.41
Magnetic moment (μB per cell): 0.000
Calculated formation energy (eV per atom): 0.165
Volume (Å³/atom): 18.240
E (eV per atom): -8.95

First-principles (PBE-GGA) data for a geometry-optimized Rb2PuSnCl6 structure, as listed in the Alexandria database.

extended XYZ file:
```
20
Lattice="-1.845 -5.765 -5.315 2.840 -5.515 4.995 -10.215 -1.034 4.667" Properties=species:S:1:pos:R:3 pbc="T T T"
Sn 2.166 -4.205 3.809
Sn -5.355 -4.709 0.862
Cl 0.180 -7.125 -1.186
Cl -2.776 -7.334 5.926
Cl -7.980 -4.925 2.007
Cl -3.717 -10.273 3.216
Cl -1.318 -4.406 -3.860
Cl -4.199 -4.383 3.465
Cl 1.010 -4.531 1.206
Cl -5.426 -5.023 7.331
Cl -0.413 -1.580 -1.255
Cl -0.410 -4.515 5.039
Cl -5.214 -7.554 0.541
Cl -2.780 -4.399 -0.368
Rb -0.865 -7.459 2.285
Rb -6.709 -8.050 4.956
Rb -2.325 -1.455 2.385
Rb -6.696 -1.898 4.382
Pu -3.033 -4.546 5.983
Pu -0.157 -4.368 -1.312
```

Calculated values
ρ (Mg/m³): 3.43
Energy relative to the elements, uncorrected (eV/atom): -1.595
Magnetic moment (μB per cell): 12.006
Volume (Å³/atom): 36.177
E (eV per atom): -4.73